No. 1
NaBi2 PBE relaxed; energy of formation from the pure elements = -0.067 eV/atom; total magnetic moment = 0.00 μB/f.u.; E above lowest polymorph = 6.48 kJ per mole of atoms; space group = No. 71; theoretical density = 7.71 Mg/m³
1.0
-2.698 3.316 5.306
2.698 -3.316 5.306
2.698 3.316 -5.306
Na Bi
2 4
Direct
0.178 0.178 0.000
0.822 0.822 0.000
0.245 0.500 0.745
0.356 0.856 0.500
0.644 0.144 0.500
0.755 0.500 0.255



No. 2
Na3Y3TeO8 PBE relaxed; total magnetic moment = 0.00 μB/f.u.; space group = No. 166; theoretical density = 4.30 Mg/m³; E_form (uncorrected) = -3483.2 kJ/mol of formula units
1.0
3.429 1.980 5.608
-3.429 1.980 5.608
0.000 -3.960 5.608
Na Y Te O
3 3 1 8
Direct
0.000 0.500 0.500
0.500 0.000 0.500
0.500 0.500 0.000
0.000 0.000 0.500
0.000 0.500 0.000
0.500 0.000 0.000
0.500 0.500 0.500
0.236 0.236 0.236
0.248 0.727 0.727
0.273 0.273 0.752
0.273 0.752 0.273
0.727 0.248 0.727
0.727 0.727 0.248
0.752 0.273 0.273
0.764 0.764 0.764



No. 3
Na2MgSb3Au4 PBE relaxed; total magnetic moment = 0.00 μB/f.u.; space group = No. 115; theoretical density = 8.16 Mg/m³; E_form (uncorrected) = -288.5 kJ/mol of formula units
1.0
4.624 0.000 0.000
0.000 4.624 0.000
0.000 0.000 11.646
Na Mg Sb Au
2 1 3 4
Direct
0.000 0.500 0.227
0.500 0.000 0.773
0.000 0.000 0.500
0.000 0.500 0.864
0.500 0.000 0.136
0.500 0.500 0.500
0.000 0.000 0.000
0.000 0.500 0.633
0.500 0.000 0.367
0.500 0.500 0.000



No. 4
ZrPt PBE relaxed; energy of formation from the pure elements = -0.817 eV/atom; total magnetic moment = 0.00 μB/f.u.; space group = No. 187; theoretical density = 11.25 Mg/m³
1.0
3.746 0.000 0.000
-1.873 3.244 0.000
0.000 0.000 3.479
Zr Pt
1 1
Direct
0.000 0.000 0.000
0.667 0.333 0.500



No. 5
SrScRh PBE relaxed; energy of formation from the pure elements = -0.205 eV/atom; total magnetic moment = 0.00 μB/f.u.; E above lowest polymorph = 17.25 kJ per mole of atoms; space group = No. 216; theoretical density = 4.93 Mg/m³
1.0
0.000 3.409 3.409
3.409 0.000 3.409
3.409 3.409 0.000
Sr Sc Rh
1 1 1
Direct
0.000 0.000 0.000
0.500 0.500 0.500
0.750 0.750 0.750



No. 6
PuPa2Re PBE relaxed; energy of formation from the pure elements = 0.066 eV/atom; total magnetic moment = 6.71 μB/f.u.; E above lowest polymorph = 4.32 kJ per mole of atoms; space group = No. 225; theoretical density = 17.18 Mg/m³
1.0
0.000 3.507 3.507
3.507 0.000 3.507
3.507 3.507 0.000
Pu Pa Re
1 2 1
Direct
0.000 0.000 0.000
0.250 0.250 0.250
0.750 0.750 0.750
0.500 0.500 0.500



No. 7
AsRu PBE relaxed; energy of formation from the pure elements = 0.075 eV/atom; total magnetic moment = 0.00 μB/f.u.; space group = No. 166; theoretical density = 7.93 Mg/m³
1.0
2.035 1.175 5.140
-2.035 1.175 5.140
0.000 -2.349 5.140
As Ru
2 2
Direct
0.239 0.239 0.239
0.761 0.761 0.761
0.397 0.397 0.397
0.603 0.603 0.603



No. 8
Li3SnH PBE relaxed; total magnetic moment = 0.00 μB/f.u.; E above lowest polymorph = 7.57 kJ per mole of atoms; space group = No. 12; theoretical density = 2.87 Mg/m³
1.0
6.062 -1.899 0.000
6.062 1.899 0.000
-0.076 0.000 7.071
Li Sn H
6 2 2
Direct
0.076 0.076 0.127
0.079 0.079 0.623
0.328 0.328 0.156
0.672 0.672 0.844
0.921 0.921 0.377
0.924 0.924 0.873
0.330 0.330 0.613
0.670 0.670 0.387
0.082 0.082 0.873
0.918 0.918 0.127



No. 9
MnBe2Ru PBE relaxed; energy of formation from the pure elements = -0.141 eV/atom; total magnetic moment = 1.94 μB/f.u.; space group = No. 44; theoretical density = 6.94 Mg/m³
1.0
-1.433 1.894 3.836
1.433 -1.894 3.836
1.433 1.894 -3.836
Mn Be Ru
1 2 1
Direct
0.000 0.000 0.000
0.523 0.523 0.000
0.745 0.245 0.500
0.264 0.764 0.500



No. 10
DyYPI PBE relaxed; total magnetic moment = 0.00 μB/f.u.; space group = No. 160; theoretical density = 6.39 Mg/m³; E_form (uncorrected) = -505.9 kJ/mol of formula units
1.0
2.030 1.172 7.455
-2.030 1.172 7.455
0.000 -2.344 7.455
Dy Y P I
1 1 1 1
Direct
0.000 0.000 0.000
0.793 0.793 0.793
0.394 0.394 0.394
0.564 0.564 0.564



No. 11
PrYMgHg PBE relaxed; energy of formation from the pure elements = -0.295 eV/atom; total magnetic moment = 0.00 μB/f.u.; E above lowest polymorph = 0.00 kJ per mole of atoms; space group = No. 99; theoretical density = 6.77 Mg/m³
1.0
3.809 0.000 0.000
0.000 3.809 0.000
0.000 0.000 7.690
Pr Y Mg Hg
1 1 1 1
Direct
0.000 0.000 0.000
0.000 0.000 0.494
0.500 0.500 0.735
0.500 0.500 0.269



No. 12
V2GaB PBE relaxed; energy of formation from the pure elements = -0.416 eV/atom; total magnetic moment = 0.00 μB/f.u.; E above lowest polymorph = 0.00 kJ per mole of atoms; space group = No. 12; theoretical density = 6.42 Mg/m³
1.0
5.144 -1.530 0.000
5.144 1.530 0.000
-0.150 0.000 5.992
V Ga B
4 2 2
Direct
0.048 0.048 0.285
0.233 0.233 0.653
0.767 0.767 0.347
0.952 0.952 0.715
0.374 0.374 0.047
0.626 0.626 0.953
0.419 0.419 0.452
0.581 0.581 0.548